Record 1
## AcNd2Er5 (GGA-PBE)

Data for a relaxed structure of AcNd2Er5.

Summary:
ΔH_f (0 K) = 34 meV/atom

Cell and atoms, written as CIF:
```
data_AcNd2Er5
_chemical_formula_sum 'Ac4 Nd8 Er20'
_cell_length_a 7.2488
_cell_length_b 10.1378
_cell_length_c 14.3968
_cell_angle_alpha 90.00
_cell_angle_beta 90.00
_cell_angle_gamma 90.00
_space_group_name_H-M_alt 'P 1'
_space_group_IT_number 1
loop_
_space_group_symop_operation_xyz
'x,y,z'
loop_
_atom_site_label
_atom_site_type_symbol
_atom_site_fract_x
_atom_site_fract_y
_atom_site_fract_z
Er1 Er 0.7452 0.0000 0.0000
Er2 Er 0.7453 0.9983 0.7501
Er3 Er 0.7453 0.5017 0.2501
Er4 Er 0.5000 0.7481 0.3745
Er5 Er 0.7453 0.0017 0.2499
Er6 Er 0.2547 0.0017 0.2499
Er7 Er 0.7453 0.4983 0.7499
Er8 Er 0.7452 0.5000 0.5000
Er9 Er 0.2548 0.0000 0.0000
Er10 Er 0.0000 0.2485 0.1245
Er11 Er 0.5000 0.7519 0.8745
Er12 Er 0.2548 0.5000 0.5000
Er13 Er 0.2547 0.5017 0.2501
Er14 Er 0.2547 0.9983 0.7501
Er15 Er 0.5000 0.2519 0.6255
Er16 Er 0.5000 0.2481 0.1255
Er17 Er 0.0000 0.2515 0.6245
Er18 Er 0.0000 0.7515 0.8755
Er19 Er 0.0000 0.7485 0.3755
Er20 Er 0.2547 0.4983 0.7499
Nd1 Nd 0.5000 0.7541 0.1261
Nd2 Nd 0.5000 0.2541 0.3739
Nd3 Nd 0.7461 0.5000 0.0000
Nd4 Nd 0.2539 0.0000 0.5000
Nd5 Nd 0.5000 0.7459 0.6261
Nd6 Nd 0.2539 0.5000 0.0000
Nd7 Nd 0.7461 0.0000 0.5000
Nd8 Nd 0.5000 0.2459 0.8739
Ac1 Ac 0.0000 0.7458 0.6263
Ac2 Ac 0.0000 0.2542 0.3737
Ac3 Ac 0.0000 0.2458 0.8737
Ac4 Ac 0.0000 0.7542 0.1263
```

=====

Record 2
## TiNi2RuI (GGA-PBE)

Data for a relaxed structure of TiNi2RuI.

Summary:
uncorrected formation energy = 0.85 eV per atom

Cell and atoms, written as CIF:
```
data_TiNi2RuI
_chemical_formula_sum 'Ti1 Ni2 Ru1 I1'
_cell_length_a 4.6683
_cell_length_b 4.5636
_cell_length_c 4.6683
_cell_angle_alpha 90.00
_cell_angle_beta 90.00
_cell_angle_gamma 90.00
_space_group_name_H-M_alt 'P 1'
_space_group_IT_number 1
loop_
_space_group_symop_operation_xyz
'x,y,z'
loop_
_atom_site_label
_atom_site_type_symbol
_atom_site_fract_x
_atom_site_fract_y
_atom_site_fract_z
Ni1 Ni 0.0000 0.0000 0.5000
Ni2 Ni 0.5000 0.0000 0.0000
I1 I 0.5000 0.5000 0.5000
Ru1 Ru 0.0000 0.0000 0.0000
Ti1 Ti 0.0000 0.5000 0.0000
```